A plane-wave DFT calculation with PBEsol was carried out for a relaxed structure of CaGa3Co2.

Lattice parameters (Å, degrees): 9.584 7.599 5.193 90.00 90.00 90.00
Space group Cmcm (No. 63)
One atom of each set of equivalent atoms:
Ca: 0.000 0.154 0.250 [4 per cell]
Ga: 0.000 0.454 0.750 [4 per cell]
Ga: 0.194 0.223 0.750 [8 per cell]
Co: 0.206 0.500 0.000 [8 per cell]

Results
- ΔE_f: -422 meV per atom
- DOS at the Fermi energy: 14.165 states/eV/cell
- Calculated total energy: -5.0266 eV per atom


A plane-wave DFT calculation with PBEsol was carried out for a relaxed structure of CaGa3Co.

Lattice parameters (Å, degrees): 4.512 4.512 4.512 90.00 90.00 90.00
Space group Pm-3m (No. 221)
One atom of each set of equivalent atoms:
Ca: 0.000 0.000 0.000 [1 per cell]
Ga: 0.000 0.500 0.500 [3 per cell]
Co: 0.500 0.500 0.500 [1 per cell]

Results
- ΔE_f: -358 meV per atom
- DOS at the Fermi energy: 3.464 states/eV/cell
- Calculated total energy: -4.3357 eV per atom


A plane-wave DFT calculation with PBEsol was carried out for a relaxed structure of Ca3CoGe.

Lattice parameters (Å, degrees): 5.116 5.116 5.116 90.00 90.00 90.00
Space group Pm-3m (No. 221)
One atom of each set of equivalent atoms:
Ca: 0.000 0.000 0.500 [3 per cell]
Co: 0.000 0.000 0.000 [1 per cell]
Ge: 0.500 0.500 0.500 [1 per cell]

Results
- ΔE_f: 190 meV per atom
- DOS at the Fermi energy: 6.499 states/eV/cell
- Calculated total energy: -3.6254 eV per atom